Record 1
Compound: Sc2MnOs
Source: the Alexandria database
Functional: GGA-PBE
Structure: optimized geometry

Calculated values
- DOS at the Fermi energy: 1.018 states/eV/atom
- Energy: -7.799 eV/atom
- Excess energy over the best structure of this formula in the dataset: 2.59 eV per formula unit

Unit cell a=2.9172 b=2.9172 c=28.4695 alpha=90.00 beta=90.00 gamma=120.00
Space group R-3m (No. 166, hexagonal axes)
Symmetry-distinct sites (fractional):
1 Sc 0.0000 0.0000 0.0887 [6 per cell]
2 Mn 0.0000 0.0000 0.5000 [3 per cell]
3 Os 0.0000 0.0000 0.0000 [3 per cell]


Record 2
Compound: ScMn2Os
Source: the Alexandria database
Functional: GGA-PBE
Structure: optimized geometry

Calculated values
- DOS at the Fermi energy: 1.260 states/eV/atom
- Energy: -8.854 eV/atom
- Excess energy over the best structure of this formula in the dataset: 0.30 eV per formula unit

Unit cell a=2.8205 b=3.9723 c=5.3109 alpha=90.00 beta=105.39 gamma=90.00
Space group Pm (No. 6)
Symmetry-distinct sites (fractional):
1 Sc 0.0000 0.0000 0.0000 [1 per cell]
2 Mn 0.6363 0.5000 0.2689 [1 per cell]
3 Mn 0.7354 0.0000 0.4855 [1 per cell]
4 Os 0.3440 0.5000 0.6923 [1 per cell]


Record 3
Compound: ScMnOs
Source: the Alexandria database
Functional: GGA-PBE
Structure: optimized geometry

Calculated values
- DOS at the Fermi energy: 0.958 states/eV/atom
- Energy: -8.966 eV/atom
- Excess energy over the best structure of this formula in the dataset: 0.82 eV per formula unit

Unit cell a=2.9209 b=2.9209 c=10.8605 alpha=90.00 beta=90.00 gamma=90.00
Space group I4mm (No. 107)
Symmetry-distinct sites (fractional):
1 Sc 0.0000 0.0000 0.0000 [2 per cell]
2 Mn 0.0000 0.0000 0.3167 [2 per cell]
3 Os 0.0000 0.0000 0.6898 [2 per cell]


Record 4
Compound: Sc2MnOs
Source: the Alexandria database
Functional: GGA-PBE
Structure: optimized geometry

Calculated values
- DOS at the Fermi energy: 1.863 states/eV/atom
- Energy: -8.289 eV/atom
- Excess energy over the best structure of this formula in the dataset: 0.63 eV per formula unit

Unit cell a=6.3864 b=6.3864 c=6.3864 alpha=90.00 beta=90.00 gamma=90.00
Space group Fm-3m (No. 225)
Symmetry-distinct sites (fractional):
1 Sc 0.2500 0.2500 0.2500 [8 per cell]
2 Mn 0.0000 0.0000 0.0000 [4 per cell]
3 Os 0.0000 0.0000 0.5000 [4 per cell]


Record 5
Compound: ScMnOs
Source: the Alexandria database
Functional: GGA-PBE
Structure: optimized geometry

Calculated values
- DOS at the Fermi energy: 0.933 states/eV/atom
- Energy: -9.004 eV/atom
- Excess energy over the best structure of this formula in the dataset: 0.71 eV per formula unit

Unit cell a=3.1889 b=13.4682 c=4.4430 alpha=90.00 beta=90.00 gamma=90.00
Space group Cmcm (No. 63)
Symmetry-distinct sites (fractional):
1 Sc 0.0000 0.0847 0.2500 [4 per cell]
2 Mn 0.0000 0.2352 0.7500 [4 per cell]
3 Os 0.0000 0.4080 0.2500 [4 per cell]


Record 6
Compound: ScMn2Os
Source: the Alexandria database
Functional: GGA-PBE
Structure: optimized geometry

Calculated values
- DOS at the Fermi energy: 1.181 states/eV/atom
- Energy: -8.911 eV/atom
- Excess energy over the best structure of this formula in the dataset: 0.07 eV per formula unit

Unit cell a=6.0102 b=6.0102 c=6.0102 alpha=90.00 beta=90.00 gamma=90.00
Space group Fm-3m (No. 225)
Symmetry-distinct sites (fractional):
1 Sc 0.0000 0.0000 0.0000 [4 per cell]
2 Mn 0.2500 0.2500 0.2500 [8 per cell]
3 Os 0.0000 0.0000 0.5000 [4 per cell]


Record 7
Compound: ScMn2Os2
Source: the Alexandria database
Functional: GGA-PBE
Structure: optimized geometry

Calculated values
- DOS at the Fermi energy: 1.196 states/eV/atom
- Energy: -9.366 eV/atom
- Excess energy over the best structure of this formula in the dataset: 0.27 eV per formula unit

Unit cell a=7.3384 b=7.3384 c=2.6888 alpha=90.00 beta=90.00 gamma=90.00
Space group P4/mbm (No. 127)
Symmetry-distinct sites (fractional):
1 Sc 0.0000 0.0000 0.0000 [2 per cell]
2 Mn 0.1668 0.3332 0.5000 [4 per cell]
3 Os 0.1279 0.6279 0.0000 [4 per cell]


Record 8
Compound: ScMn2Os
Source: the Alexandria database
Functional: GGA-PBE
Structure: optimized geometry

Calculated values
- DOS at the Fermi energy: 1.276 states/eV/atom
- Energy: -8.828 eV/atom
- Excess energy over the best structure of this formula in the dataset: 0.41 eV per formula unit

Unit cell a=5.3128 b=8.1719 c=2.7159 alpha=90.00 beta=104.16 gamma=90.00
Space group C2/m (No. 12)
Symmetry-distinct sites (fractional):
1 Sc 0.0000 0.0000 0.0000 [2 per cell]
2 Mn 0.2500 0.2500 0.5000 [4 per cell]
3 Os 0.0000 0.5000 0.0000 [2 per cell]